Entry 1:
This record from OQMD via LeMat-Bulk describes a relaxed CdCoTcPb crystal. The functional is PBE-GGA.

Results
- VASP energy (eV per cell) = -78.20
- energy above the most stable polymorph in this dataset (kJ/mol of atoms) = 0.0
- M_tot (μB/cell) = 3.08

```
data_CdCoTcPb
_space_group_name_H-M_alt 'F -4 3 m'
_space_group_IT_number 216
_space_group_name_Hall 'F -4 2 3'
_cell_length_a 6.493
_cell_length_b 6.493
_cell_length_c 6.493
_cell_angle_alpha 90.00
_cell_angle_beta 90.00
_cell_angle_gamma 90.00
loop_
_atom_site_label
_atom_site_type_symbol
_atom_site_fract_x
_atom_site_fract_y
_atom_site_fract_z
Cd1 Cd 0.000 0.000 0.000
Co1 Co 0.250 0.250 0.750
Tc1 Tc 0.250 0.250 0.250
Pb1 Pb 0.000 0.000 0.500
```


Entry 2:
This record from OQMD via LeMat-Bulk describes a relaxed YPAuO crystal. The functional is PBE-GGA.

Results
- VASP energy (eV per cell) = -52.64
- energy above the most stable polymorph in this dataset (kJ/mol of atoms) = 0.0
- M_tot (μB/cell) = 0.01

```
data_YPAuO
_space_group_name_H-M_alt 'P 4/n m m'
_space_group_IT_number 129
_cell_length_a 4.037
_cell_length_b 4.037
_cell_length_c 8.408
_cell_angle_alpha 90.00
_cell_angle_beta 90.00
_cell_angle_gamma 90.00
loop_
_space_group_symop_operation_xyz
'x,y,z'
'-x,-y,-z'
'-y+1/2,x,z'
'y+1/2,-x,-z'
'-x+1/2,-y+1/2,z'
'x+1/2,y+1/2,-z'
'y,-x+1/2,z'
'-y,x+1/2,-z'
'x+1/2,-y,-z'
'-x+1/2,y,z'
'-y,-x,-z'
'y,x,z'
'-x,y+1/2,-z'
'x,-y+1/2,z'
'y+1/2,x+1/2,-z'
'-y+1/2,-x+1/2,z'
loop_
_atom_site_label
_atom_site_type_symbol
_atom_site_fract_x
_atom_site_fract_y
_atom_site_fract_z
Y1 Y 0.250 0.250 0.125
P1 P 0.250 0.250 0.689
Au1 Au 0.250 0.750 0.500
O1 O 0.250 0.750 0.000
```


Entry 3:
This record from OQMD via LeMat-Bulk describes a relaxed LuFeCoSb crystal. The functional is PBE-GGA.

Results
- VASP energy (eV per cell) = -94.50
- energy above the most stable polymorph in this dataset (kJ/mol of atoms) = 30.7
- M_tot (μB/cell) = 14.62

```
data_LuFeCoSb
_space_group_name_H-M_alt 'F -4 3 m'
_space_group_IT_number 216
_space_group_name_Hall 'F -4 2 3'
_cell_length_a 6.538
_cell_length_b 6.538
_cell_length_c 6.538
_cell_angle_alpha 90.00
_cell_angle_beta 90.00
_cell_angle_gamma 90.00
loop_
_atom_site_label
_atom_site_type_symbol
_atom_site_fract_x
_atom_site_fract_y
_atom_site_fract_z
Lu1 Lu 0.000 0.000 0.000
Fe1 Fe 0.250 0.250 0.750
Co1 Co 0.000 0.000 0.500
Sb1 Sb 0.250 0.250 0.250
```


Entry 4:
This record from OQMD via LeMat-Bulk describes a relaxed Tm2ZrW2 crystal. The functional is PBE-GGA.

Results
- VASP energy (eV per cell) = -41.57
- M_tot (μB/cell) = 0.01

```
data_Tm2ZrW2
_space_group_name_H-M_alt 'P -1'
_space_group_IT_number 2
_space_group_name_Hall '-P 1'
_cell_length_a 3.079
_cell_length_b 5.369
_cell_length_c 7.079
_cell_angle_alpha 102.15
_cell_angle_beta 99.99
_cell_angle_gamma 94.44
loop_
_atom_site_label
_atom_site_type_symbol
_atom_site_fract_x
_atom_site_fract_y
_atom_site_fract_z
Tm1 Tm 0.092 0.418 0.243
Zr1 Zr 0.500 0.000 0.500
W1 W 0.376 0.133 0.880
```


Repeat the first record exactly.
This record from OQMD via LeMat-Bulk describes a relaxed CdCoTcPb crystal. The functional is PBE-GGA.

Results
- VASP energy (eV per cell) = -78.20
- energy above the most stable polymorph in this dataset (kJ/mol of atoms) = 0.0
- M_tot (μB/cell) = 3.08

```
data_CdCoTcPb
_space_group_name_H-M_alt 'F -4 3 m'
_space_group_IT_number 216
_space_group_name_Hall 'F -4 2 3'
_cell_length_a 6.493
_cell_length_b 6.493
_cell_length_c 6.493
_cell_angle_alpha 90.00
_cell_angle_beta 90.00
_cell_angle_gamma 90.00
loop_
_atom_site_label
_atom_site_type_symbol
_atom_site_fract_x
_atom_site_fract_y
_atom_site_fract_z
Cd1 Cd 0.000 0.000 0.000
Co1 Co 0.250 0.250 0.750
Tc1 Tc 0.250 0.250 0.250
Pb1 Pb 0.000 0.000 0.500
```